VASP calculation (PBE-GGA) on a relaxed HfHS2Br crystal.

Values from the calculation:
Uncorrected energy: -4.323 eV per atom
Total magnetic moment: 0.000 μB/atom

Cell lengths 4.0020, 4.0020, 4.8276 Å; angles 90.00, 90.00, 90.00 degrees
Last column: nearest neighbours and their distance in Å.
Space group P4/mmm (No. 123)
Symmetry-distinct sites (fractional):
Hf  0.0000  0.0000  0.0000 (multiplicity 1)  4 Br 2.83, 8 S 3.14
H  0.5000  0.5000  0.5000 (multiplicity 1)  4 S 2.00
S  0.0000  0.5000  0.5000 (multiplicity 2)  2 H 2.00
Br  0.5000  0.5000  0.0000 (multiplicity 1)  2 H 2.41